The following is a DFT calculation (PBE-GGA) of an optimized crystal structure of Rb3CdHg2Cl9.

Unit cell a=7.5436 b=7.5436 c=9.2391 alpha=90.00 beta=90.00 gamma=120.00
With the nearest neighbours (Å) after each atom.
Sites, in units of the cell vectors:
Rb: 0.0000 0.0000 0.0000  12 Cl 3.77-3.78
Rb: 0.3333 0.6667 0.6665  12 Cl 3.77
Rb: 0.6667 0.3333 0.3335  12 Cl 3.77
Cd: 0.0000 0.0000 0.5000  6 Cl 2.64
Hg: 0.3333 0.6667 0.1685  6 Cl 2.68-2.69
Hg: 0.6667 0.3333 0.8315  6 Cl 2.68-2.69
Cl: 0.0000 0.5000 0.0000  2 Hg 2.68
Cl: 0.1651 0.3302 0.3354  1 Cd 2.64, 1 Hg 2.69
Cl: 0.1651 0.8349 0.3354  1 Cd 2.64, 1 Hg 2.69
Cl: 0.3302 0.1651 0.6646  1 Cd 2.64, 1 Hg 2.69
Cl: 0.5000 0.0000 0.0000  2 Hg 2.68
Cl: 0.5000 0.5000 0.0000  2 Hg 2.68
Cl: 0.6698 0.8349 0.3354  1 Cd 2.64, 1 Hg 2.69
Cl: 0.8349 0.1651 0.6646  1 Cd 2.64, 1 Hg 2.69
Cl: 0.8349 0.6698 0.6646  1 Cd 2.64, 1 Hg 2.69

**Formation energy without anion corrections**: -1.225 eV per atom
**Uncorrected energy**: -2.628 eV/atom
**Size of the total moment**: 0.00 μB/atom
**V**: 455.32 Å³/cell
**Space-group type**: P-3m1

=====

The following is a DFT calculation (PBE-GGA) of an optimized crystal structure of TaV2PtC.

Unit cell a=3.9732 b=3.9732 c=4.2805 alpha=90.00 beta=90.00 gamma=90.00
With the nearest neighbours (Å) after each atom.
Sites, in units of the cell vectors:
Ta: 0.0000 0.0000 0.0000  2 C 2.14
V: 0.0000 0.5000 0.5000  2 C 1.99
V: 0.5000 0.0000 0.5000  2 C 1.99
Pt: 0.5000 0.5000 0.0000  4 Ta 2.81, 8 V 2.92
C: 0.0000 0.0000 0.5000  4 V 1.99, 2 Ta 2.14

**Formation enthalpy at 0 K**: -0.460 eV/atom
**Uncorrected energy**: -9.531 eV/atom
**Size of the total moment**: 0.00 μB/atom
**V**: 67.58 Å³/cell
**Space-group type**: P4/mmm

=====

The following is a DFT calculation (PBE-GGA) of an optimized crystal structure of CeEr3.

Unit cell a=7.1067 b=7.1067 c=5.6311 alpha=90.00 beta=90.00 gamma=120.00
With the nearest neighbours (Å) after each atom.
Sites, in units of the cell vectors:
Ce: 0.3333 0.6667 0.2500  12 Er 3.48-3.55
Ce: 0.6667 0.3333 0.7500  12 Er 3.48-3.55
Er: 0.1673 0.3346 0.7500  4 Ce 3.48-3.55, 8 Er 3.49-3.57
Er: 0.1673 0.8327 0.7500  4 Ce 3.48-3.55, 8 Er 3.49-3.57
Er: 0.3346 0.1673 0.2500  4 Ce 3.48-3.55, 8 Er 3.49-3.57
Er: 0.6654 0.8327 0.7500  4 Ce 3.48-3.55, 8 Er 3.49-3.57
Er: 0.8327 0.1673 0.2500  4 Ce 3.48-3.55, 8 Er 3.49-3.57
Er: 0.8327 0.6654 0.2500  4 Ce 3.48-3.55, 8 Er 3.49-3.57

**Formation enthalpy at 0 K**: 0.063 eV/atom
**Polymorph energy (0 for the lowest one)**: 0.0005 eV/atom
**Uncorrected energy**: -4.843 eV/atom
**Size of the total moment**: 0.12 μB/atom
**V**: 246.30 Å³/cell
**Space-group type**: P6_3/mmc

=====

The following is a DFT calculation (PBE-GGA) of an optimized crystal structure of Cs2PmGeS4.

Unit cell a=14.9276 b=13.4055 c=8.1006 alpha=84.06 beta=63.28 gamma=32.67
With the nearest neighbours (Å) after each atom.
Sites, in units of the cell vectors:
Cs: 0.0563 0.0563 0.6937  8 S 3.83-4.27
Cs: 0.3063 0.3063 0.9437  8 S 3.83-4.27
Cs: 0.6937 0.6937 0.0563  8 S 3.83-4.27
Cs: 0.9437 0.9437 0.3063  8 S 3.83-4.27
Pm: 0.1250 0.1250 0.1250  4 S 2.65
Pm: 0.8750 0.8750 0.8750  4 S 2.65
Ge: 0.3750 0.3750 0.3750  4 S 2.38
Ge: 0.6250 0.6250 0.6250  4 S 2.38
S: 0.0126 0.6400 0.5500  1 Ge 2.38, 1 Pm 2.65
S: 0.2975 0.5500 0.6400  1 Ge 2.38, 1 Pm 2.65
S: 0.3600 0.9874 0.7025  1 Ge 2.38, 1 Pm 2.65
S: 0.4500 0.7025 0.9874  1 Ge 2.38, 1 Pm 2.65
S: 0.5500 0.2975 0.0126  1 Ge 2.38, 1 Pm 2.65
S: 0.6400 0.0126 0.2975  1 Ge 2.38, 1 Pm 2.65
S: 0.7025 0.4500 0.3600  1 Ge 2.38, 1 Pm 2.65
S: 0.9874 0.3600 0.4500  1 Ge 2.38, 1 Pm 2.65

**Formation energy without anion corrections**: -1.075 eV per atom
**Uncorrected energy**: -4.523 eV/atom
**Size of the total moment**: 0.00 μB/atom
**V**: 641.91 Å³/cell
**Space-group type**: Fddd

=====

The following is a DFT calculation (PBE-GGA) of an optimized crystal structure of TiBC2.

Unit cell a=4.9724 b=4.9724 c=5.3359 alpha=90.00 beta=90.00 gamma=90.00
With the nearest neighbours (Å) after each atom.
Sites, in units of the cell vectors:
Ti: 0.0000 0.0000 0.0000  4 C 2.17
Ti: 0.0000 0.5000 0.2500  4 C 2.17
Ti: 0.5000 0.0000 0.7500  4 C 2.17
Ti: 0.5000 0.5000 0.5000  4 C 2.17
B: 0.0000 0.0000 0.5000  4 C 1.64
B: 0.0000 0.5000 0.7500  4 C 1.64
B: 0.5000 0.0000 0.2500  4 C 1.64
B: 0.5000 0.5000 0.0000  4 C 1.64
C: 0.1675 0.2500 0.6250  2 B 1.64
C: 0.2500 0.6675 0.8750  2 B 1.64
C: 0.2500 0.8325 0.3750  2 B 1.64
C: 0.3325 0.2500 0.1250  2 B 1.64
C: 0.6675 0.7500 0.1250  2 B 1.64
C: 0.7500 0.1675 0.3750  2 B 1.64
C: 0.7500 0.3325 0.8750  2 B 1.64
C: 0.8325 0.7500 0.6250  2 B 1.64

**Formation enthalpy at 0 K**: 0.154 eV/atom
**Polymorph energy (0 for the lowest one)**: 0.0000 eV/atom
**Uncorrected energy**: -8.101 eV/atom
**Size of the total moment**: 0.00 μB/atom
**V**: 131.93 Å³/cell
**Space-group type**: I-42d

=====

The following is a DFT calculation (PBE-GGA) of an optimized crystal structure of Na2SrCa.

Unit cell a=8.7633 b=8.7633 c=8.7633 alpha=90.00 beta=90.00 gamma=90.00
With the nearest neighbours (Å) after each atom.
Sites, in units of the cell vectors:
Na: 0.2500 0.2500 0.2500  4 Ca 3.79, 4 Sr 3.79
Na: 0.2500 0.2500 0.7500  4 Ca 3.79, 4 Sr 3.79
Na: 0.2500 0.7500 0.2500  4 Ca 3.79, 4 Sr 3.79
Na: 0.2500 0.7500 0.7500  4 Ca 3.79, 4 Sr 3.79
Na: 0.7500 0.2500 0.2500  4 Ca 3.79, 4 Sr 3.79
Na: 0.7500 0.2500 0.7500  4 Ca 3.79, 4 Sr 3.79
Na: 0.7500 0.7500 0.2500  4 Ca 3.79, 4 Sr 3.79
Na: 0.7500 0.7500 0.7500  4 Sr 3.79, 4 Ca 3.79
Sr: 0.0000 0.0000 0.0000  8 Na 3.79
Sr: 0.0000 0.5000 0.5000  8 Na 3.79
Sr: 0.5000 0.0000 0.5000  8 Na 3.79
Sr: 0.5000 0.5000 0.0000  8 Na 3.79
Ca: 0.0000 0.0000 0.5000  8 Na 3.79
Ca: 0.0000 0.5000 0.0000  8 Na 3.79
Ca: 0.5000 0.0000 0.0000  8 Na 3.79
Ca: 0.5000 0.5000 0.5000  8 Na 3.79

**Formation enthalpy at 0 K**: 0.051 eV/atom
**Polymorph energy (0 for the lowest one)**: 0.0038 eV/atom
**Uncorrected energy**: -1.529 eV/atom
**Size of the total moment**: 0.00 μB/atom
**V**: 672.98 Å³/cell
**Space-group type**: Fm-3m